[1]
Below is a relaxed structure of NaP2IrSe8, with properties calculated at the PBE-GGA level.

Results
As for the space group: P-3, No. 147.

The structure in POSCAR format:
```
NaP2IrSe8
1.0
-5.506 -0.188 -2.291
3.884 -4.364 -1.209
-3.165 -5.040 8.021
Se P Na Ir
8 2 1 1
Direct
0.333 0.667 0.937
0.304 0.352 0.346
0.648 0.952 0.346
0.048 0.696 0.346
0.667 0.333 0.063
0.696 0.648 0.654
0.352 0.048 0.654
0.952 0.304 0.654
0.667 0.333 0.280
0.333 0.667 0.720
0.000 0.000 0.000
0.000 0.000 0.500
```

[2]
Below is a relaxed structure of Ba3PtBr, with properties calculated at the PBE-GGA level.

Results
As for the space group: Pm-3m, No. 221. The value obtained for the relative energy among the computed polymorphs is 273 meV per atom.

The structure in POSCAR format:
```
Ba3PtBr
1.0
-4.504 0.698 4.280
1.155 -5.755 2.154
4.180 2.342 4.016
Ba Br Pt
3 1 1
Direct
0.000 0.000 0.500
0.000 0.500 0.000
0.500 0.000 0.000
0.500 0.500 0.500
0.000 0.000 0.000
```

| no. | uncorrected energy (eV/atom) | raw formation energy (eV per atom) |
| --- | --- | --- |
| 1 | -4.21 | -0.1354 |
| 2 | -3.45 | -0.7491 |